[1]
# PBE-GGA PmGdZnPt, relaxed
# Space group ... F-43m, No. 216
# Spin magnetization ... 7.1 μB/f.u.
# Electronic total energy ... -7.259 eV per atom
# Energy of formation from the pure elements ... -722 meV per atom
data_PmGdZnPt
_space_group_name_H-M_alt 'P 1'
_space_group_IT_number 1
_cell_length_a 5.078
_cell_length_b 5.078
_cell_length_c 5.078
_cell_angle_alpha 60.00
_cell_angle_beta 60.00
_cell_angle_gamma 60.00
loop_
_space_group_symop_operation_xyz
'x,y,z'
loop_
_atom_site_label
_atom_site_type_symbol
_atom_site_fract_x
_atom_site_fract_y
_atom_site_fract_z
Zn1 Zn 0.250 0.250 0.250
Gd1 Gd 0.500 0.500 0.500
Pt1 Pt 0.750 0.750 0.750
Pm1 Pm 0.000 0.000 0.000


[2]
# PBE-GGA Sr2TiGaAu, relaxed
# Space group ... P4/mmm, No. 123
# Spin magnetization ... 0.2 μB/f.u.
# Electronic total energy ... -3.040 eV per atom
# Energy of formation from the pure elements ... 473 meV per atom
data_Sr2TiGaAu
_space_group_name_H-M_alt 'P 1'
_space_group_IT_number 1
_cell_length_a 6.053
_cell_length_b 4.736
_cell_length_c 6.053
_cell_angle_alpha 90.00
_cell_angle_beta 90.00
_cell_angle_gamma 90.00
loop_
_space_group_symop_operation_xyz
'x,y,z'
loop_
_atom_site_label
_atom_site_type_symbol
_atom_site_fract_x
_atom_site_fract_y
_atom_site_fract_z
Sr1 Sr 0.000 0.000 0.500
Sr2 Sr 0.500 0.000 0.000
Au1 Au 0.000 0.500 0.000
Ga1 Ga 0.000 0.000 0.000
Ti1 Ti 0.500 0.500 0.500


[3]
# PBE-GGA Pr3Sm4Hg, relaxed
# Space group ... P4/mmm, No. 123
# Spin magnetization ... 0.0 μB/f.u.
# Electronic total energy ... -4.299 eV per atom
# Energy of formation from the pure elements ... -109 meV per atom
data_Pr3Sm4Hg
_space_group_name_H-M_alt 'P 1'
_space_group_IT_number 1
_cell_length_a 3.692
_cell_length_b 3.692
_cell_length_c 19.443
_cell_angle_alpha 90.00
_cell_angle_beta 90.00
_cell_angle_gamma 90.00
loop_
_space_group_symop_operation_xyz
'x,y,z'
loop_
_atom_site_label
_atom_site_type_symbol
_atom_site_fract_x
_atom_site_fract_y
_atom_site_fract_z
Pr1 Pr 0.500 0.500 0.234
Pr2 Pr 0.500 0.500 0.500
Pr3 Pr 0.500 0.500 0.766
Hg1 Hg 0.500 0.500 0.000
Sm1 Sm 0.000 0.000 0.897
Sm2 Sm 0.000 0.000 0.103
Sm3 Sm 0.000 0.000 0.367
Sm4 Sm 0.000 0.000 0.633


[4]
# PBE-GGA SeCl2, relaxed
# Space group ... Immm, No. 71
# Spin magnetization ... 1.1 μB/f.u.
# Electronic total energy ... -2.342 eV per atom
# Energy relative to the elements, uncorrected ... 0.051 eV per atom
data_SeCl2
_space_group_name_H-M_alt 'P 1'
_space_group_IT_number 1
_cell_length_a 6.005
_cell_length_b 6.005
_cell_length_c 6.005
_cell_angle_alpha 147.94
_cell_angle_beta 97.12
_cell_angle_gamma 91.64
loop_
_space_group_symop_operation_xyz
'x,y,z'
loop_
_atom_site_label
_atom_site_type_symbol
_atom_site_fract_x
_atom_site_fract_y
_atom_site_fract_z
Se1 Se 0.000 0.000 0.000
Cl1 Cl 0.273 0.273 0.000
Cl2 Cl 0.727 0.727 0.000


[5]
# PBE-GGA K2BaCoCl6, relaxed
# Space group ... P-1, No. 2
# Spin magnetization ... 3.0 μB/f.u.
# Electronic total energy ... -3.877 eV per atom
# Energy relative to the elements, uncorrected ... -1.647 eV per atom
data_K2BaCoCl6
_space_group_name_H-M_alt 'P 1'
_space_group_IT_number 1
_cell_length_a 7.442
_cell_length_b 7.674
_cell_length_c 7.647
_cell_angle_alpha 119.80
_cell_angle_beta 121.08
_cell_angle_gamma 90.17
loop_
_space_group_symop_operation_xyz
'x,y,z'
loop_
_atom_site_label
_atom_site_type_symbol
_atom_site_fract_x
_atom_site_fract_y
_atom_site_fract_z
K1 K 0.667 0.223 0.445
K2 K 0.332 0.778 0.554
Ba1 Ba 0.500 0.500 0.000
Co1 Co 0.000 0.000 0.000
Cl1 Cl 0.763 0.875 0.081
Cl2 Cl 0.761 0.682 0.556
Cl3 Cl 0.237 0.126 0.919
Cl4 Cl 0.763 0.208 0.892
Cl5 Cl 0.239 0.318 0.443
Cl6 Cl 0.236 0.792 0.107


[6]
# PBE-GGA Hg2IrBr, relaxed
# Space group ... Fm-3m, No. 225
# Spin magnetization ... 0.0 μB/f.u.
# Electronic total energy ... -1.929 eV per atom
# Offset from the most stable computed form ... 52.7 kJ/mol of atoms
# Energy relative to the elements, uncorrected ... 0.856 eV per atom
data_Hg2IrBr
_space_group_name_H-M_alt 'P 1'
_space_group_IT_number 1
_cell_length_a 4.930
_cell_length_b 4.930
_cell_length_c 4.930
_cell_angle_alpha 60.00
_cell_angle_beta 60.00
_cell_angle_gamma 60.00
loop_
_space_group_symop_operation_xyz
'x,y,z'
loop_
_atom_site_label
_atom_site_type_symbol
_atom_site_fract_x
_atom_site_fract_y
_atom_site_fract_z
Ir1 Ir 0.500 0.500 0.500
Hg1 Hg 0.250 0.250 0.250
Hg2 Hg 0.750 0.750 0.750
Br1 Br 0.000 0.000 0.000


[7]
# PBE-GGA Hf2SiB2, relaxed
# Space group ... I4/mmm, No. 139
# Spin magnetization ... 0.0 μB/f.u.
# Electronic total energy ... -7.738 eV per atom
# Offset from the most stable computed form ... 0.0 kJ/mol of atoms
# Energy relative to the elements, uncorrected ... -0.001 eV per atom
data_Hf2SiB2
_space_group_name_H-M_alt 'P 1'
_space_group_IT_number 1
_cell_length_a 3.049
_cell_length_b 3.049
_cell_length_c 7.854
_cell_angle_alpha 78.81
_cell_angle_beta 78.81
_cell_angle_gamma 90.00
loop_
_space_group_symop_operation_xyz
'x,y,z'
loop_
_atom_site_label
_atom_site_type_symbol
_atom_site_fract_x
_atom_site_fract_y
_atom_site_fract_z
Si1 Si 0.000 0.000 0.000
B1 B 0.750 0.250 0.500
B2 B 0.250 0.750 0.500
Hf1 Hf 0.378 0.378 0.245
Hf2 Hf 0.622 0.622 0.755


[8]
# PBE-GGA Sc2RhBr, relaxed
# Space group ... Immm, No. 71
# Spin magnetization ... 0.0 μB/f.u.
# Electronic total energy ... -5.970 eV per atom
# Offset from the most stable computed form ... 36.4 kJ/mol of atoms
# Energy relative to the elements, uncorrected ... -0.548 eV per atom
data_Sc2RhBr
_space_group_name_H-M_alt 'P 1'
_space_group_IT_number 1
_cell_length_a 4.998
_cell_length_b 4.998
_cell_length_c 4.998
_cell_angle_alpha 133.46
_cell_angle_beta 113.09
_cell_angle_gamma 85.41
loop_
_space_group_symop_operation_xyz
'x,y,z'
loop_
_atom_site_label
_atom_site_type_symbol
_atom_site_fract_x
_atom_site_fract_y
_atom_site_fract_z
Br1 Br 0.250 0.750 0.500
Rh1 Rh 0.750 0.250 0.500
Sc1 Sc 0.989 0.989 0.000
Sc2 Sc 0.511 0.511 0.000


[9]
# PBE-GGA SrLiMn2, relaxed
# Space group ... P4/mmm, No. 123
# Spin magnetization ... 7.4 μB/f.u.
# Electronic total energy ... -4.797 eV per atom
# Offset from the most stable computed form ... 30.8 kJ/mol of atoms
# Energy of formation from the pure elements ... 686 meV per atom
data_SrLiMn2
_space_group_name_H-M_alt 'P 1'
_space_group_IT_number 1
_cell_length_a 4.904
_cell_length_b 4.249
_cell_length_c 4.249
_cell_angle_alpha 90.00
_cell_angle_beta 90.00
_cell_angle_gamma 90.00
loop_
_space_group_symop_operation_xyz
'x,y,z'
loop_
_atom_site_label
_atom_site_type_symbol
_atom_site_fract_x
_atom_site_fract_y
_atom_site_fract_z
Li1 Li 0.500 0.000 0.500
Mn1 Mn 0.000 0.000 0.000
Mn2 Mn 0.000 0.500 0.500
Sr1 Sr 0.500 0.500 0.000


[10]
# PBE-GGA K4U3BiTe8, relaxed
# Space group ... C2/m, No. 12
# Spin magnetization ... 9.0 μB/f.u.
# Electronic total energy ... -4.981 eV per atom
# Energy relative to the elements, uncorrected ... -0.777 eV per atom
data_K4U3BiTe8
_space_group_name_H-M_alt 'P 1'
_space_group_IT_number 1
_cell_length_a 9.089
_cell_length_b 9.826
_cell_length_c 9.084
_cell_angle_alpha 117.54
_cell_angle_beta 120.02
_cell_angle_gamma 90.00
loop_
_space_group_symop_operation_xyz
'x,y,z'
loop_
_atom_site_label
_atom_site_type_symbol
_atom_site_fract_x
_atom_site_fract_y
_atom_site_fract_z
K1 K 0.500 0.000 0.000
K2 K 0.500 0.000 0.500
K3 K 0.000 0.000 0.000
K4 K 0.000 0.000 0.500
U1 U 0.500 0.500 0.000
U2 U 0.500 0.500 0.500
U3 U 0.000 0.500 0.500
Bi1 Bi 0.000 0.500 0.000
Te1 Te 0.240 0.713 0.973
Te2 Te 0.240 0.713 0.480
Te3 Te 0.263 0.288 0.525
Te4 Te 0.733 0.713 0.973
Te5 Te 0.267 0.287 0.027
Te6 Te 0.737 0.712 0.475
Te7 Te 0.760 0.287 0.520
Te8 Te 0.760 0.287 0.027


[11]
# PBE-GGA InP3W, relaxed
# Space group ... Pm-3m, No. 221
# Spin magnetization ... 0.0 μB/f.u.
# Electronic total energy ... -5.997 eV per atom
# Offset from the most stable computed form ... 0.0 kJ/mol of atoms
# Energy of formation from the pure elements ... 387 meV per atom
data_InP3W
_space_group_name_H-M_alt 'P 1'
_space_group_IT_number 1
_cell_length_a 4.766
_cell_length_b 4.766
_cell_length_c 4.766
_cell_angle_alpha 90.00
_cell_angle_beta 90.00
_cell_angle_gamma 90.00
loop_
_space_group_symop_operation_xyz
'x,y,z'
loop_
_atom_site_label
_atom_site_type_symbol
_atom_site_fract_x
_atom_site_fract_y
_atom_site_fract_z
P1 P 0.000 0.500 0.000
P2 P 0.000 0.000 0.500
P3 P 0.500 0.000 0.000
W1 W 0.000 0.000 0.000
In1 In 0.500 0.500 0.500


[12]
# PBE-GGA Pm4DyY2, relaxed
# Space group ... Imma, No. 74
# Spin magnetization ... 0.0 μB/f.u.
# Electronic total energy ... -4.971 eV per atom
# Offset from the most stable computed form ... 9.0 kJ/mol of atoms
# Energy of formation from the pure elements ... 248 meV per atom
data_Pm4DyY2
_space_group_name_H-M_alt 'P 1'
_space_group_IT_number 1
_cell_length_a 6.883
_cell_length_b 9.038
_cell_length_c 9.038
_cell_angle_alpha 78.23
_cell_angle_beta 67.62
_cell_angle_gamma 67.62
loop_
_space_group_symop_operation_xyz
'x,y,z'
loop_
_atom_site_label
_atom_site_type_symbol
_atom_site_fract_x
_atom_site_fract_y
_atom_site_fract_z
Pm1 Pm 0.146 0.360 0.349
Pm2 Pm 0.146 0.849 0.860
Pm3 Pm 0.228 0.241 0.741
Pm4 Pm 0.789 0.241 0.741
Pm5 Pm 0.211 0.759 0.259
Pm6 Pm 0.854 0.151 0.140
Pm7 Pm 0.772 0.759 0.259
Pm8 Pm 0.854 0.640 0.651
Dy1 Dy 0.000 0.500 0.000
Dy2 Dy 0.500 0.500 0.000
Y1 Y 0.282 0.968 0.468
Y2 Y 0.500 0.000 0.000
Y3 Y 0.500 0.500 0.500
Y4 Y 0.718 0.032 0.532